Entry 1:
Entry from Alexandria via LeMat-Bulk: CoIrSe after structural relaxation (GGA-PBE).

The structure in POSCAR format:
```
CoIrSe
1.0
2.975 0.000 0.000
-1.488 2.577 0.000
0.000 0.000 11.659
Co Ir Se
2 2 2
direct
0.000 0.000 0.169
0.000 0.000 0.831
0.333 0.667 0.000
0.333 0.667 0.500
0.333 0.667 0.295
0.333 0.667 0.705
```

Results
excess energy over the best structure of this formula in the dataset: 0.000 eV per atom
raw formation energy: 0.246 eV/atom
total moment: 0.00 μB/atom
DOS at the Fermi energy: 1.136 states/eV/atom
space-group type: P-6m2

***

Entry 2:
Entry from Alexandria via LeMat-Bulk: CoIrSe3 after structural relaxation (GGA-PBE).

The structure in POSCAR format:
```
CoIrSe3
1.0
4.539 0.000 0.000
0.000 4.539 0.000
0.000 0.000 4.539
Co Ir Se
1 1 3
direct
0.000 0.000 0.000
0.500 0.500 0.500
0.000 0.000 0.500
0.000 0.500 0.000
0.500 0.000 0.000
```

Results
excess energy over the best structure of this formula in the dataset: 0.000 eV per atom
raw formation energy: 0.900 eV/atom
total moment: 0.00 μB/atom
DOS at the Fermi energy: 1.210 states/eV/atom
space-group type: Pm-3m

***

Entry 3:
Entry from Alexandria via LeMat-Bulk: CoIr3Se after structural relaxation (GGA-PBE).

The structure in POSCAR format:
```
CoIr3Se
1.0
4.500 0.000 0.000
0.000 4.500 0.000
0.000 0.000 4.500
Co Ir Se
1 3 1
direct
0.000 0.000 0.000
0.000 0.000 0.500
0.000 0.500 0.000
0.500 0.000 0.000
0.500 0.500 0.500
```

Results
excess energy over the best structure of this formula in the dataset: 0.043 eV per atom
raw formation energy: 1.567 eV/atom
total moment: 0.81 μB/atom
DOS at the Fermi energy: 1.378 states/eV/atom
space-group type: Pm-3m

***

Entry 4:
Entry from Alexandria via LeMat-Bulk: CoIrSe after structural relaxation (GGA-PBE).

The structure in POSCAR format:
```
CoIrSe
1.0
0.000 2.935 2.935
2.935 0.000 2.935
2.935 2.935 0.000
Co Ir Se
1 1 1
direct
0.000 0.000 0.000
0.750 0.750 0.750
0.500 0.500 0.500
```

Results
excess energy over the best structure of this formula in the dataset: 0.103 eV per atom
raw formation energy: 0.349 eV/atom
total moment: 0.67 μB/atom
DOS at the Fermi energy: 1.588 states/eV/atom
space-group type: F-43m

***

Entry 5:
Entry from Alexandria via LeMat-Bulk: CoIrSe6 after structural relaxation (GGA-PBE).

The structure in POSCAR format:
```
CoIrSe6
1.0
5.915 0.000 0.000
-0.339 5.966 0.000
-2.616 -3.099 4.531
Co Ir Se
1 1 6
direct
0.000 0.000 0.000
0.500 0.500 0.000
0.187 0.709 0.137
0.289 0.416 0.494
0.292 0.034 0.840
0.708 0.966 0.160
0.711 0.584 0.506
0.813 0.291 0.863
```

Results
raw formation energy: -0.184 eV/atom
total moment: 0.00 μB/atom
DOS at the Fermi energy: 0.193 states/eV/atom
space-group type: P-1

***

Entry 6:
Entry from Alexandria via LeMat-Bulk: CoIr3Se after structural relaxation (GGA-PBE).

The structure in POSCAR format:
```
CoIr3Se
1.0
4.552 0.000 0.000
0.000 4.552 0.000
0.000 0.000 4.552
Co Ir Se
1 3 1
direct
0.000 0.000 0.000
0.000 0.500 0.500
0.500 0.000 0.500
0.500 0.500 0.000
0.500 0.500 0.500
```

Results
excess energy over the best structure of this formula in the dataset: 0.000 eV per atom
raw formation energy: 1.524 eV/atom
total moment: 0.51 μB/atom
DOS at the Fermi energy: 1.218 states/eV/atom
space-group type: Pm-3m

***

Entry 7:
Entry from Alexandria via LeMat-Bulk: CoIr2Se6 after structural relaxation (GGA-PBE).

The structure in POSCAR format:
```
CoIr2Se6
1.0
10.934 0.000 0.000
-5.467 9.469 0.000
0.000 0.000 5.074
Co Ir Se
3 6 18
direct
0.000 0.000 0.000
0.333 0.667 0.513
0.667 0.333 0.487
0.000 0.336 0.000
0.000 0.664 0.000
0.336 0.000 0.000
0.336 0.336 0.000
0.664 0.000 0.000
0.664 0.664 0.000
0.100 0.550 0.280
0.109 0.218 0.250
0.109 0.891 0.250
0.216 0.432 0.725
0.216 0.784 0.725
0.218 0.109 0.750
0.432 0.216 0.275
0.450 0.550 0.280
0.450 0.900 0.280
0.550 0.100 0.720
0.550 0.450 0.720
0.568 0.784 0.725
0.782 0.891 0.250
0.784 0.216 0.275
0.784 0.568 0.275
0.891 0.109 0.750
0.891 0.782 0.750
0.900 0.450 0.720
```

Results
excess energy over the best structure of this formula in the dataset: 0.043 eV per atom
raw formation energy: -0.220 eV/atom
total moment: 0.00 μB/atom
DOS at the Fermi energy: 0.553 states/eV/atom
space-group type: P-3m1

***

Entry 8:
Entry from Alexandria via LeMat-Bulk: CoIr2Se6 after structural relaxation (GGA-PBE).

The structure in POSCAR format:
```
CoIr2Se6
1.0
5.022 0.000 0.000
0.000 6.367 0.000
0.000 0.000 10.862
Co Ir Se
2 4 12
direct
0.000 0.000 0.000
0.500 0.500 0.500
0.000 0.500 0.179
0.000 0.500 0.821
0.500 0.000 0.321
0.500 0.000 0.679
0.237 0.323 0.350
0.237 0.323 0.650
0.245 0.321 0.000
0.255 0.821 0.500
0.263 0.823 0.150
0.263 0.823 0.850
0.737 0.177 0.150
0.737 0.177 0.850
0.745 0.179 0.500
0.755 0.679 0.000
0.763 0.677 0.350
0.763 0.677 0.650
```

Results
excess energy over the best structure of this formula in the dataset: 0.000 eV per atom
raw formation energy: -0.263 eV/atom
total moment: 0.00 μB/atom
DOS at the Fermi energy: 0.507 states/eV/atom
space-group type: Pnnm